First-principles (PBE) data for a relaxed structure of BaAl2In, as listed in the Alexandria database.

calculated total energy	-3.137	eV/atom
calculated density	4.77	g cm⁻³
SG	Pmm2, No. 25

Cell lengths 3.4085, 4.0300, 7.7570 Å; angles 90.00, 90.00, 90.00 degrees
Sites, in units of the cell vectors:
Al: 0.0000 0.0000 0.0242
Al: 0.5000 0.5000 0.1775
Ba: 0.0000 0.0000 0.4866
In: 0.5000 0.5000 0.8117

First-principles (PBE) data for a relaxed structure of Ba2Al3In5, as listed in the Alexandria database.

calculated total energy	-3.167	eV/atom
calculated density	5.50	g cm⁻³
SG	P-4m2, No. 115

Cell lengths 4.8586, 4.8586, 11.8938 Å; angles 90.00, 90.00, 90.00 degrees
Sites, in units of the cell vectors:
Ba: 0.5000 0.0000 0.2625
Ba: 0.0000 0.5000 0.7375
Al: 0.5000 0.0000 0.6198
Al: 0.0000 0.5000 0.3802
Al: 0.0000 0.0000 0.5000
In: 0.5000 0.5000 0.0000
In: 0.0000 0.0000 0.0000
In: 0.5000 0.0000 0.8519
In: 0.0000 0.5000 0.1481
In: 0.5000 0.5000 0.5000

First-principles (PBE) data for a relaxed structure of BaAlIn, as listed in the Alexandria database.

calculated total energy	-3.147	eV/atom
calculated density	5.09	g cm⁻³
SG	C2/m, No. 12

Cell lengths 5.1309, 6.4392, 6.5361 Å; angles 82.12, 66.89, 66.52 degrees
Sites, in units of the cell vectors:
Ba: 0.5555 0.1959 0.6931
Ba: 0.4445 0.8041 0.3069
Al: 0.8484 0.2188 0.0843
Al: 0.1516 0.7812 0.9157
In: 0.1684 0.4087 0.2545
In: 0.8316 0.5913 0.7455

First-principles (PBE) data for a relaxed structure of Ba2AlIn, as listed in the Alexandria database.

calculated total energy	-2.808	eV/atom
energy above the most stable polymorph in this dataset	19	meV per atom
calculated density	4.79	g cm⁻³
SG	Pmm2, No. 25

Cell lengths 5.4654, 4.1660, 6.3372 Å; angles 90.01, 90.00, 90.00 degrees
Sites, in units of the cell vectors:
Al: 0.5000 0.6251 0.7752
Ba: 0.0000 0.1251 0.9285
Ba: 0.5000 0.1249 0.3214
In: 0.0000 0.6249 0.4748

First-principles (PBE) data for a relaxed structure of BaAl2In, as listed in the Alexandria database.

calculated total energy	-3.032	eV/atom
calculated density	4.42	g cm⁻³
SG	P2/m, No. 10

Cell lengths 4.5926, 3.5987, 7.1339 Å; angles 77.24, 90.00, 90.00 degrees
Sites, in units of the cell vectors:
Al: 0.0000 0.9537 0.9257
Al: 0.0000 0.5463 0.5743
Ba: 0.5000 0.2500 0.2500
In: 0.5000 0.7500 0.7500

First-principles (PBE) data for a relaxed structure of Ba2AlIn, as listed in the Alexandria database.

calculated total energy	-2.814	eV/atom
energy above the most stable polymorph in this dataset	13	meV per atom
calculated density	4.41	g cm⁻³
SG	Amm2, No. 38

Cell lengths 5.3802, 8.0422, 7.7357 Å; angles 90.00, 110.35, 90.00 degrees
Sites, in units of the cell vectors:
Ba: 0.7772 0.0000 0.5544
Ba: 0.6318 0.5000 0.2637
Ba: 0.9195 0.5000 0.8390
Ba: 0.4858 0.0000 0.9716
Al: 0.2915 0.6657 0.5829
Al: 0.2915 0.3343 0.5829
In: 0.1194 0.1842 0.2388
In: 0.1194 0.8158 0.2388

First-principles (PBE) data for a relaxed structure of BaAlIn, as listed in the Alexandria database.

calculated total energy	-3.104	eV/atom
calculated density	4.54	g cm⁻³
SG	P-6m2, No. 187

Cell lengths 4.7345, 4.7345, 5.2565 Å; angles 90.00, 90.00, 120.00 degrees
Sites, in units of the cell vectors:
Al: 0.0000 0.0000 0.8331
Ba: 0.6667 0.3333 0.3334
In: 0.3333 0.6667 0.8334

First-principles (PBE) data for a relaxed structure of BaAl2In, as listed in the Alexandria database.

calculated total energy	-2.847	eV/atom
calculated density	4.54	g cm⁻³
SG	C2/m, No. 12

Cell lengths 7.7900, 6.0068, 3.3328 Å; angles 92.32, 60.64, 120.82 degrees
Sites, in units of the cell vectors:
Al: 0.0000 0.0000 0.0000
Al: 0.5000 0.0000 0.5000
Ba: 0.0000 0.5000 0.5000
In: 0.5000 0.5000 0.0000